TlCd2InAs: relaxed, PBE.

The structure in POSCAR format:
```
TlCd2InAs
1.0
5.298 0.000 0.000
0.000 5.298 0.000
0.000 0.000 5.930
In Cd Tl As
1 2 1 1
Direct
0.500 0.500 0.500 In
0.500 0.000 0.000 Cd
0.000 0.500 0.000 Cd
0.000 0.000 0.500 Tl
0.000 0.000 0.000 As
```

* formation enthalpy at 0 K: 307 meV/atom
* final energy: -2.01 eV/atom
* space group: P4/mmm, No. 123

NiOs2CN: relaxed, PBE.

The structure in POSCAR format:
```
NiOs2CN
1.0
4.023 0.000 0.000
0.000 3.633 0.000
0.000 0.000 4.023
Os Ni N C
2 1 1 1
Direct
0.500 0.000 0.000 Os
0.000 0.000 0.500 Os
0.000 0.500 0.000 Ni
0.500 0.500 0.500 N
0.000 0.000 0.000 C
```

* final energy: -7.65 eV/atom
* uncorrected formation energy: 726 kJ/mol of formula units
* space group: P4/mmm, No. 123

NbCo2Ni: relaxed, PBE.

The structure in POSCAR format:
```
NbCo2Ni
1.0
-1.427 2.350 -2.277
-2.882 0.458 2.280
1.793 2.750 1.714
Nb Co Ni
1 2 1
Direct
0.500 0.500 0.500 Nb
0.000 0.500 0.000 Co
0.000 0.000 0.500 Co
0.500 0.000 0.000 Ni
```

* formation enthalpy at 0 K: -200 meV/atom
* final energy: -7.72 eV/atom
* space group: P4/mmm, No. 123
* E above lowest polymorph: 0.00 kcal/mol of atoms

MgAgRh2: relaxed, PBE.

The structure in POSCAR format:
```
MgAgRh2
1.0
2.770 0.013 0.000
-1.184 2.505 0.000
0.000 0.000 9.052
Ag Rh Mg
1 2 1
Direct
0.500 0.500 0.250 Ag
0.000 0.000 0.986 Rh
0.000 0.000 0.514 Rh
0.500 0.500 0.750 Mg
```

* formation enthalpy at 0 K: 5 meV/atom
* final energy: -4.78 eV/atom
* space group: Cmmm, No. 65

D(E_F) values, unit states/eV/f.u., following the record order: 3.2 5.3 2.4 5.6.
Total moment values, unit μB/atom, following the record order: 0.000 0.000 0.198 0.003.